1.
Crystalline Be2OsCl at its relaxed geometry, computed with GGA-PBE.

Geometry as POSCAR:
```
Be2OsCl
1.0
1.531 -2.406 0.000
1.531 2.406 0.000
0.000 0.000 7.081
Be Os Cl
2 1 1
direct
0.000 0.000 0.234 Be
0.000 0.000 0.766 Be
0.500 0.500 0.000 Os
0.500 0.500 0.500 Cl
```

Calculated values
As for the space group: Cmmm. The energy above the lowest structure with this stoichiometry comes out at 206 meV per atom. The calculation puts the raw formation energy at 0.227 eV per atom. As for the crystal system: orthorhombic. The calculation puts the density of states at the Fermi level at 0.431 states/eV/atom.

---

2.
Crystalline Be3OsCl at its relaxed geometry, computed with GGA-PBE.

Geometry as POSCAR:
```
Be3OsCl
1.0
4.319 0.000 0.000
0.000 4.319 0.000
0.000 0.000 4.319
Be Os Cl
3 1 1
direct
0.000 0.000 0.500 Be
0.000 0.500 0.000 Be
0.500 0.000 0.000 Be
0.000 0.000 0.000 Os
0.500 0.500 0.500 Cl
```

Calculated values
As for the space group: Pm-3m. The energy above the lowest structure with this stoichiometry comes out at 0 meV per atom. The calculation puts the raw formation energy at 0.940 eV per atom. As for the crystal system: cubic. The calculation puts the density of states at the Fermi level at 0.753 states/eV/atom.

---

3.
Crystalline BeOsCl2 at its relaxed geometry, computed with GGA-PBE.

Geometry as POSCAR:
```
BeOsCl2
1.0
2.968 0.000 0.000
0.000 3.705 0.000
0.000 0.000 5.773
Be Os Cl
1 1 2
direct
0.000 0.000 0.000 Be
0.000 0.000 0.500 Os
0.500 0.500 0.249 Cl
0.500 0.500 0.751 Cl
```

Calculated values
As for the space group: Pmmm. The energy above the lowest structure with this stoichiometry comes out at 1374 meV per atom. The calculation puts the raw formation energy at 1.316 eV per atom. As for the crystal system: orthorhombic. The calculation puts the density of states at the Fermi level at 0.646 states/eV/atom.

---

4.
Crystalline BeOsCl2 at its relaxed geometry, computed with GGA-PBE.

Geometry as POSCAR:
```
BeOsCl2
1.0
2.827 -3.967 0.000
2.827 3.967 0.000
-1.729 0.000 2.784
Be Os Cl
1 1 2
direct
0.000 0.000 0.000 Be
0.500 0.500 0.000 Os
0.000 0.500 0.000 Cl
0.500 0.000 0.000 Cl
```

Calculated values
As for the space group: C2/m. The energy above the lowest structure with this stoichiometry comes out at 938 meV per atom. The calculation puts the raw formation energy at 0.880 eV per atom. As for the crystal system: monoclinic. The calculation puts the density of states at the Fermi level at 0.600 states/eV/atom.

---

5.
Crystalline BeOsCl2 at its relaxed geometry, computed with GGA-PBE.

Geometry as POSCAR:
```
BeOsCl2
1.0
2.846 0.000 0.000
0.000 4.022 0.000
0.000 0.000 5.484
Be Os Cl
1 1 2
direct
0.000 0.000 0.000 Be
0.500 0.000 0.500 Os
0.000 0.500 0.500 Cl
0.500 0.500 0.000 Cl
```

Calculated values
As for the space group: Pmmm. The energy above the lowest structure with this stoichiometry comes out at 933 meV per atom. The calculation puts the raw formation energy at 0.875 eV per atom. As for the crystal system: orthorhombic. The calculation puts the density of states at the Fermi level at 0.667 states/eV/atom.

---

6.
Crystalline BeOsCl at its relaxed geometry, computed with GGA-PBE.

Geometry as POSCAR:
```
BeOsCl
1.0
0.000 2.833 2.833
2.833 0.000 2.833
2.833 2.833 0.000
Be Os Cl
1 1 1
direct
0.000 0.000 0.000 Be
0.750 0.750 0.750 Os
0.500 0.500 0.500 Cl
```

Calculated values
As for the space group: F-43m. The energy above the lowest structure with this stoichiometry comes out at 1026 meV per atom. The calculation puts the raw formation energy at 1.240 eV per atom. As for the crystal system: cubic. The calculation puts the density of states at the Fermi level at 1.124 states/eV/atom.

---

| no. | uncorrected energy (eV/cell) |
| --- | --- |
| 1 | -19.6 |
| 2 | -19.6 |
| 3 | -13.4 |
| 4 | -15.1 |
| 5 | -15.1 |
| 6 | -13.1 |